Entry 1:
A relaxed structure of Ac2AlTcO6. Source: Alexandria via LeMat-Bulk, functional PBE-GGA.

The structure in POSCAR format:
```
Ac2AlTcO6
1.0
2.824 1.630 9.290
-2.824 1.630 9.290
0.000 -3.261 9.290
Ac Al Tc O
4 2 2 12
direct
0.128 0.128 0.128
0.288 0.288 0.288
0.712 0.712 0.712
0.872 0.872 0.872
0.000 0.000 0.000
0.500 0.500 0.500
0.411 0.411 0.411
0.589 0.589 0.589
0.132 0.624 0.624
0.196 0.196 0.725
0.196 0.725 0.196
0.275 0.804 0.804
0.376 0.376 0.868
0.376 0.868 0.376
0.624 0.132 0.624
0.624 0.624 0.132
0.725 0.196 0.196
0.804 0.275 0.804
0.804 0.804 0.275
0.868 0.376 0.376
```

- ΔE_f (raw) (kJ per mole of atoms) = -254.0
- total DFT energy (no corrections) (eV/atom) = -7.8399
- DOS at the Fermi energy (states/eV/f.u.) = 2.8
- space-group type = No. 166
- magnetic moment (μB per atom) = 0.20



Entry 2:
A relaxed structure of Cs2HfGaSe4. Source: Alexandria via LeMat-Bulk, functional PBE-GGA.

The structure in POSCAR format:
```
Cs2HfGaSe4
1.0
0.000 7.375 13.007
3.374 0.000 13.007
3.374 7.375 0.000
Cs Hf Ga Se
4 2 2 8
direct
0.054 0.054 0.696
0.304 0.304 0.946
0.696 0.696 0.054
0.946 0.946 0.304
0.125 0.125 0.125
0.875 0.875 0.875
0.375 0.375 0.375
0.625 0.625 0.625
0.028 0.326 0.409
0.263 0.591 0.674
0.326 0.028 0.737
0.409 0.737 0.028
0.591 0.263 0.972
0.674 0.972 0.263
0.737 0.409 0.326
0.972 0.674 0.591
```

- ΔE_f (raw) (kJ per mole of atoms) = -104.7
- total DFT energy (no corrections) (eV/atom) = -4.6637
- DOS at the Fermi energy (states/eV/f.u.) = 3.2
- space-group type = No. 70
- magnetic moment (μB per atom) = 0.00



Entry 3:
A relaxed structure of ZnH5Pd4. Source: Alexandria via LeMat-Bulk, functional PBE-GGA.

The structure in POSCAR format:
```
ZnH5Pd4
1.0
5.551 0.000 0.000
0.000 8.143 0.000
0.000 0.000 4.360
Zn H Pd
2 10 8
direct
0.250 0.250 0.114
0.750 0.750 0.886
0.027 0.552 0.228
0.027 0.948 0.228
0.250 0.750 0.671
0.473 0.552 0.228
0.473 0.948 0.228
0.527 0.052 0.772
0.527 0.448 0.772
0.750 0.250 0.329
0.973 0.052 0.772
0.973 0.448 0.772
0.001 0.750 0.394
0.250 0.549 0.898
0.250 0.951 0.898
0.499 0.750 0.394
0.501 0.250 0.606
0.750 0.049 0.102
0.750 0.451 0.102
0.999 0.250 0.606
```

- total DFT energy (no corrections) (eV/atom) = -3.9211
- DOS at the Fermi energy (states/eV/f.u.) = 2.3
- space-group type = No. 59
- magnetic moment (μB per atom) = 0.00



Entry 4:
A relaxed structure of AgOsPd2. Source: Alexandria via LeMat-Bulk, functional PBE-GGA.

The structure in POSCAR format:
```
AgOsPd2
1.0
-3.578 3.578 2.741
3.578 -3.578 2.741
3.578 3.578 -2.741
Ag Os Pd
2 2 4
direct
0.000 0.000 0.000
0.750 0.250 0.500
0.250 0.750 0.500
0.500 0.500 0.000
0.146 0.625 0.021
0.375 0.396 0.521
0.604 0.125 0.979
0.875 0.854 0.479
```

- total DFT energy (no corrections) (eV/atom) = -5.2474
- DOS at the Fermi energy (states/eV/f.u.) = 4.8
- space-group type = No. 122
- magnetic moment (μB per atom) = 0.48
- E above lowest polymorph (meV/atom) = 318



Entry 5:
A relaxed structure of TiMnReGe. Source: Alexandria via LeMat-Bulk, functional PBE-GGA.

The structure in POSCAR format:
```
TiMnReGe
1.0
0.000 3.040 3.040
3.040 0.000 3.040
3.040 3.040 0.000
Ti Mn Re Ge
1 1 1 1
direct
0.000 0.000 0.000
0.250 0.250 0.250
0.750 0.750 0.750
0.500 0.500 0.500
```

- total DFT energy (no corrections) (eV/atom) = -8.7113
- DOS at the Fermi energy (states/eV/f.u.) = 3.2
- space-group type = No. 216
- magnetic moment (μB per atom) = 0.50



Entry 6:
A relaxed structure of YIn2SeS. Source: Alexandria via LeMat-Bulk, functional PBE-GGA.

The structure in POSCAR format:
```
YIn2SeS
1.0
5.338 0.000 0.000
0.000 5.338 0.000
0.000 0.000 4.890
Y In Se S
1 2 1 1
direct
0.000 0.000 0.000
0.000 0.500 0.500
0.500 0.000 0.500
0.500 0.500 0.000
0.500 0.500 0.500
```

- ΔE_f (raw) (kJ per mole of atoms) = 3.9
- total DFT energy (no corrections) (eV/atom) = -3.8697
- DOS at the Fermi energy (states/eV/f.u.) = 3.2
- space-group type = No. 123
- magnetic moment (μB per atom) = 0.00